No. 1
# TmCrP2

TmCrP2 after structural relaxation (PBE, the Alexandria database).

Unit cell a=6.146 b=6.146 c=6.146 alpha=35.55 beta=35.55 gamma=35.55
Fractional positions:
Tm (0.000, 0.000, 0.000)
Cr (0.500, 0.500, 0.500)
P (0.236, 0.236, 0.236)
P (0.764, 0.764, 0.764)

Properties
- Magnetic moment: 2.69 μB/f.u.
- V: 17.5 Å³ per atom
- SG: R-3m, No. 166
- Formation energy: -0.9030 eV per atom

No. 2
# TmCrP

TmCrP after structural relaxation (PBE, the Alexandria database).

Unit cell a=5.542 b=3.517 c=6.216 alpha=90.00 beta=112.66 gamma=90.00
Fractional positions:
Tm (0.160, 0.250, 0.337)
Tm (0.840, 0.750, 0.663)
Cr (0.316, 0.250, 0.922)
Cr (0.684, 0.750, 0.078)
P (0.358, 0.750, 0.705)
P (0.642, 0.250, 0.295)

Properties
- Magnetic moment: 0.00 μB/f.u.
- V: 18.6 Å³ per atom
- SG: P2_1/m, No. 11
- Formation energy: -0.5303 eV per atom

No. 3
# UCr3P2

UCr3P2 after structural relaxation (PBE, the Alexandria database).

Unit cell a=7.430 b=7.430 c=6.817 alpha=116.99 beta=116.99 gamma=30.63
Fractional positions:
U (0.139, 0.139, 0.050)
U (0.861, 0.861, 0.950)
Cr (0.051, 0.051, 0.395)
Cr (0.296, 0.296, 0.517)
Cr (0.407, 0.407, 0.341)
Cr (0.593, 0.593, 0.659)
Cr (0.704, 0.704, 0.483)
Cr (0.949, 0.949, 0.605)
P (0.204, 0.204, 0.725)
P (0.474, 0.474, 0.799)
P (0.526, 0.526, 0.201)
P (0.796, 0.796, 0.275)

Properties
- Magnetic moment: 0.79 μB/f.u.
- V: 14.1 Å³ per atom
- SG: C2/m, No. 12
- Formation energy: -0.5217 eV per atom

No. 4
# UCr5P3

UCr5P3 after structural relaxation (PBE, the Alexandria database).

Unit cell a=6.766 b=3.731 c=9.489 alpha=90.00 beta=98.34 gamma=90.00
Fractional positions:
U (0.180, 0.250, 0.283)
U (0.820, 0.750, 0.717)
Cr (0.085, 0.250, 0.601)
Cr (0.160, 0.750, 0.009)
Cr (0.322, 0.750, 0.778)
Cr (0.395, 0.250, 0.013)
Cr (0.459, 0.250, 0.571)
Cr (0.541, 0.750, 0.429)
Cr (0.605, 0.750, 0.987)
Cr (0.678, 0.250, 0.222)
Cr (0.840, 0.250, 0.991)
Cr (0.915, 0.750, 0.399)
P (0.101, 0.250, 0.847)
P (0.238, 0.750, 0.520)
P (0.442, 0.750, 0.187)
P (0.558, 0.250, 0.813)
P (0.762, 0.250, 0.480)
P (0.899, 0.750, 0.153)

Properties
- Magnetic moment: 0.24 μB/f.u.
- E above lowest polymorph: 0.0 meV per atom
- V: 13.2 Å³ per atom
- SG: P2_1/m, No. 11
- Formation energy: -0.5421 eV per atom

No. 5
# UCrP2

UCrP2 after structural relaxation (PBE, the Alexandria database).

Unit cell a=9.186 b=9.186 c=9.186 alpha=17.94 beta=17.94 gamma=17.94
Fractional positions:
U (0.000, 0.000, 0.000)
Cr (0.500, 0.500, 0.500)
P (0.105, 0.105, 0.105)
P (0.895, 0.895, 0.895)

Properties
- Magnetic moment: 1.87 μB/f.u.
- E above lowest polymorph: 442.5 meV per atom
- V: 16.1 Å³ per atom
- SG: R-3m, No. 166
- Formation energy: -0.0886 eV per atom

No. 6
# UCrP2

UCrP2 after structural relaxation (PBE, the Alexandria database).

Unit cell a=6.445 b=6.445 c=6.445 alpha=32.54 beta=32.54 gamma=32.54
Fractional positions:
U (0.000, 0.000, 0.000)
Cr (0.175, 0.175, 0.175)
P (0.437, 0.437, 0.437)
P (0.570, 0.570, 0.570)

Properties
- Magnetic moment: 4.00 μB/f.u.
- E above lowest polymorph: 0.0 meV per atom
- V: 17.2 Å³ per atom
- SG: R3m, No. 160
- Formation energy: -0.5311 eV per atom

No. 7
# UCr5P3

UCr5P3 after structural relaxation (PBE, the Alexandria database).

Unit cell a=6.172 b=6.172 c=11.153 alpha=90.00 beta=90.00 gamma=144.57
Fractional positions:
U (0.156, 0.844, 0.750)
U (0.844, 0.156, 0.250)
Cr (0.000, 0.000, 0.000)
Cr (0.000, 0.000, 0.500)
Cr (0.193, 0.807, 0.047)
Cr (0.193, 0.807, 0.453)
Cr (0.434, 0.566, 0.652)
Cr (0.434, 0.566, 0.848)
Cr (0.566, 0.434, 0.152)
Cr (0.566, 0.434, 0.348)
Cr (0.807, 0.193, 0.547)
Cr (0.807, 0.193, 0.953)
P (0.146, 0.854, 0.250)
P (0.386, 0.614, 0.063)
P (0.386, 0.614, 0.437)
P (0.614, 0.386, 0.563)
P (0.614, 0.386, 0.937)
P (0.854, 0.146, 0.750)

Properties
- Magnetic moment: 1.88 μB/f.u.
- E above lowest polymorph: 96.5 meV per atom
- V: 13.7 Å³ per atom
- SG: Cmcm, No. 63
- Formation energy: -0.4457 eV per atom

No. 8
# UCrP2

UCrP2 after structural relaxation (PBE, the Alexandria database).

Unit cell a=6.644 b=6.644 c=6.644 alpha=149.69 beta=149.69 gamma=43.39
Fractional positions:
U (0.000, 0.000, 0.000)
Cr (0.250, 0.750, 0.500)
P (0.376, 0.376, 0.000)
P (0.624, 0.624, 0.000)

Properties
- Magnetic moment: 5.46 μB/f.u.
- E above lowest polymorph: 98.4 meV per atom
- V: 18.6 Å³ per atom
- SG: I-4m2, No. 119
- Formation energy: -0.4327 eV per atom

No. 9
# UCr3P3

UCr3P3 after structural relaxation (PBE, the Alexandria database).

Unit cell a=6.258 b=6.258 c=6.258 alpha=90.00 beta=90.00 gamma=90.00
Fractional positions:
U (0.000, 0.000, 0.000)
U (0.500, 0.500, 0.500)
Cr (0.000, 0.250, 0.500)
Cr (0.000, 0.750, 0.500)
Cr (0.250, 0.500, 0.000)
Cr (0.500, 0.000, 0.250)
Cr (0.500, 0.000, 0.750)
Cr (0.750, 0.500, 0.000)
P (0.000, 0.500, 0.250)
P (0.000, 0.500, 0.750)
P (0.250, 0.000, 0.500)
P (0.500, 0.250, 0.000)
P (0.500, 0.750, 0.000)
P (0.750, 0.000, 0.500)

Properties
- Magnetic moment: 6.33 μB/f.u.
- V: 17.5 Å³ per atom
- SG: Pm-3n, No. 223
- Formation energy: 0.0671 eV per atom

No. 10
# U2Cr12P7

U2Cr12P7 after structural relaxation (PBE, the Alexandria database).

Unit cell a=9.565 b=9.565 c=3.532 alpha=90.00 beta=90.00 gamma=120.00
Fractional positions:
U (0.333, 0.667, 0.257)
U (0.667, 0.333, 0.743)
Cr (0.054, 0.620, 0.739)
Cr (0.116, 0.849, 0.265)
Cr (0.151, 0.267, 0.265)
Cr (0.267, 0.116, 0.735)
Cr (0.380, 0.434, 0.739)
Cr (0.434, 0.054, 0.261)
Cr (0.566, 0.946, 0.739)
Cr (0.620, 0.566, 0.261)
Cr (0.733, 0.884, 0.265)
Cr (0.849, 0.733, 0.735)
Cr (0.884, 0.151, 0.735)
Cr (0.946, 0.380, 0.261)
P (0.000, 0.000, 0.500)
P (0.124, 0.415, 0.763)
P (0.292, 0.876, 0.763)
P (0.415, 0.292, 0.237)
P (0.585, 0.708, 0.763)
P (0.708, 0.124, 0.237)
P (0.876, 0.585, 0.237)

Properties
- Magnetic moment: 4.34 μB/f.u.
- V: 13.3 Å³ per atom
- SG: P-3, No. 147
- Formation energy: -0.4539 eV per atom

No. 11
# V2CrP2

V2CrP2 after structural relaxation (PBE, the Alexandria database).

Unit cell a=6.066 b=6.066 c=3.326 alpha=90.00 beta=90.00 gamma=90.00
Fractional positions:
V (0.160, 0.340, 0.000)
V (0.340, 0.840, 0.000)
V (0.660, 0.160, 0.000)
V (0.840, 0.660, 0.000)
Cr (0.000, 0.000, 0.500)
Cr (0.500, 0.500, 0.500)
P (0.141, 0.641, 0.500)
P (0.359, 0.141, 0.500)
P (0.641, 0.859, 0.500)
P (0.859, 0.359, 0.500)

Properties
- Magnetic moment: 0.00 μB/f.u.
- V: 12.2 Å³ per atom
- SG: P4/mbm, No. 127
- Formation energy: -0.5817 eV per atom

No. 12
# V3CrP2

V3CrP2 after structural relaxation (PBE, the Alexandria database).

Unit cell a=6.519 b=6.519 c=6.519 alpha=134.58 beta=75.58 gamma=123.17
Fractional positions:
V (0.066, 0.750, 0.316)
V (0.250, 0.250, 0.000)
V (0.434, 0.750, 0.684)
V (0.566, 0.250, 0.316)
V (0.750, 0.750, 0.000)
V (0.934, 0.250, 0.684)
Cr (0.000, 0.500, 0.500)
Cr (0.500, 0.000, 0.500)
P (0.156, 0.147, 0.303)
P (0.344, 0.647, 0.991)
P (0.656, 0.353, 0.009)
P (0.844, 0.853, 0.697)

Properties
- Magnetic moment: 0.00 μB/f.u.
- V: 13.4 Å³ per atom
- SG: Ibam, No. 72
- Formation energy: -0.4651 eV per atom

No. 13
# VCr2P

VCr2P after structural relaxation (PBE, the Alexandria database).

Unit cell a=5.173 b=5.173 c=5.173 alpha=104.66 beta=104.66 gamma=119.58
Fractional positions:
V (0.000, 0.000, 0.000)
V (0.750, 0.250, 0.500)
Cr (0.154, 0.625, 0.029)
Cr (0.375, 0.404, 0.529)
Cr (0.596, 0.125, 0.971)
Cr (0.875, 0.846, 0.471)
P (0.250, 0.750, 0.500)
P (0.500, 0.500, 0.000)

Properties
- Magnetic moment: 0.01 μB/f.u.
- V: 13.0 Å³ per atom
- SG: I-42d, No. 122
- Formation energy: 0.3495 eV per atom

No. 14
# V4CrP

V4CrP after structural relaxation (PBE, the Alexandria database).

Unit cell a=6.277 b=6.277 c=6.277 alpha=114.83 beta=114.83 gamma=99.22
Fractional positions:
V (0.167, 0.495, 0.672)
V (0.245, 0.073, 0.828)
V (0.245, 0.417, 0.172)
V (0.316, 0.000, 0.316)
V (0.684, 0.000, 0.684)
V (0.750, 0.566, 0.816)
V (0.750, 0.934, 0.184)
V (0.823, 0.495, 0.328)
Cr (0.744, 0.244, 0.500)
Cr (0.994, 0.994, 0.000)
P (0.250, 0.750, 0.500)
P (0.500, 0.500, 0.000)

Properties
- Magnetic moment: 0.00 μB/f.u.
- V: 15.5 Å³ per atom
- SG: I4_1md, No. 109
- Formation energy: 0.4364 eV per atom

No. 15
# V2CrP

V2CrP after structural relaxation (PBE, the Alexandria database).

Unit cell a=5.454 b=4.633 c=9.348 alpha=90.00 beta=118.22 gamma=90.00
Fractional positions:
V (0.074, 0.245, 0.452)
V (0.074, 0.255, 0.952)
V (0.351, 0.742, 0.904)
V (0.351, 0.758, 0.404)
V (0.649, 0.242, 0.596)
V (0.649, 0.258, 0.096)
V (0.926, 0.745, 0.048)
V (0.926, 0.755, 0.548)
Cr (0.157, 0.246, 0.734)
Cr (0.157, 0.254, 0.234)
Cr (0.843, 0.746, 0.766)
Cr (0.843, 0.754, 0.266)
P (0.386, 0.598, 0.657)
P (0.386, 0.902, 0.157)
P (0.614, 0.098, 0.843)
P (0.614, 0.402, 0.343)

Properties
- Magnetic moment: 0.00 μB/f.u.
- V: 13.0 Å³ per atom
- SG: P2_1/c, No. 14
- Formation energy: -0.2579 eV per atom

No. 16
# V2CrP

V2CrP after structural relaxation (PBE, the Alexandria database).

Unit cell a=3.631 b=3.631 c=3.695 alpha=90.00 beta=90.00 gamma=90.00
Fractional positions:
V (0.000, 0.500, 0.000)
V (0.500, 0.000, 0.000)
Cr (0.000, 0.000, 0.500)
P (0.500, 0.500, 0.500)

Properties
- Magnetic moment: 0.32 μB/f.u.
- V: 12.2 Å³ per atom
- SG: P4/mmm, No. 123
- Formation energy: -0.3424 eV per atom

No. 17
# V2CrP

V2CrP after structural relaxation (PBE, the Alexandria database).

Unit cell a=5.239 b=5.239 c=5.239 alpha=103.85 beta=103.85 gamma=121.43
Fractional positions:
V (0.115, 0.625, 0.990)
V (0.375, 0.365, 0.490)
V (0.635, 0.125, 0.010)
V (0.875, 0.885, 0.510)
Cr (0.250, 0.750, 0.500)
Cr (0.500, 0.500, 0.000)
P (0.000, 0.000, 0.000)
P (0.750, 0.250, 0.500)

Properties
- Magnetic moment: 0.67 μB/f.u.
- V: 13.4 Å³ per atom
- SG: I-42d, No. 122
- Formation energy: 0.1983 eV per atom

No. 18
# V2CrP

V2CrP after structural relaxation (PBE, the Alexandria database).

Unit cell a=3.101 b=3.101 c=5.156 alpha=90.00 beta=90.00 gamma=90.00
Fractional positions:
V (0.000, 0.000, 0.237)
V (0.000, 0.000, 0.763)
Cr (0.500, 0.500, 0.500)
P (0.500, 0.500, 0.000)

Properties
- Magnetic moment: 0.00 μB/f.u.
- V: 12.4 Å³ per atom
- SG: P4/mmm, No. 123
- Formation energy: -0.3548 eV per atom

No. 19
# YV2CrP

YV2CrP after structural relaxation (PBE, the Alexandria database).

Unit cell a=4.339 b=4.339 c=5.088 alpha=90.00 beta=90.00 gamma=90.00
Fractional positions:
Y (0.000, 0.000, 0.000)
V (0.000, 0.500, 0.500)
V (0.500, 0.000, 0.500)
Cr (0.500, 0.500, 0.000)
P (0.000, 0.000, 0.500)

Properties
- Magnetic moment: 0.01 μB/f.u.
- V: 19.2 Å³ per atom
- SG: P4/mmm, No. 123
- Formation energy: 0.6089 eV per atom

No. 20
# VZn2CrP

VZn2CrP after structural relaxation (PBE, the Alexandria database).

Unit cell a=4.404 b=4.404 c=4.371 alpha=90.00 beta=90.00 gamma=90.00
Fractional positions:
V (0.000, 0.000, 0.000)
Zn (0.000, 0.500, 0.500)
Zn (0.500, 0.000, 0.500)
Cr (0.500, 0.500, 0.000)
P (0.000, 0.000, 0.500)

Properties
- Magnetic moment: 0.38 μB/f.u.
- V: 17.0 Å³ per atom
- SG: P4/mmm, No. 123
- Formation energy: 0.9810 eV per atom